Entry 1:
LiSnBiRu | the Alexandria database | PBE | relaxed; total moment = 0.0 μB/f.u.; symmetry = No. 216; VASP energy = -4.806 eV per atom; D(E_F) = 3.382 states/eV per cell; E_form = -37.7 meV/atom
1.0
0.000 3.367 3.367
3.367 0.000 3.367
3.367 3.367 0.000
Li Sn Bi Ru
1 1 1 1
direct
0.000 0.000 0.000
0.750 0.750 0.750
0.250 0.250 0.250
0.500 0.500 0.500

=====

Entry 2:
LiTbBiRu | the Alexandria database | PBE | relaxed; total moment = 0.0 μB/f.u.; symmetry = No. 216; VASP energy = -5.248 eV per atom; D(E_F) = 4.253 states/eV per cell; E_form = -323.2 meV/atom
1.0
0.000 3.397 3.397
3.397 0.000 3.397
3.397 3.397 0.000
Li Tb Bi Ru
1 1 1 1
direct
0.000 0.000 0.000
0.750 0.750 0.750
0.250 0.250 0.250
0.500 0.500 0.500

=====

Entry 3:
LiThBiRu | the Alexandria database | PBE | relaxed; total moment = 0.0 μB/f.u.; symmetry = No. 216; VASP energy = -5.992 eV per atom; D(E_F) = 0.128 states/eV per cell; E_form = -369.7 meV/atom
1.0
0.000 3.463 3.463
3.463 0.000 3.463
3.463 3.463 0.000
Li Th Bi Ru
1 1 1 1
direct
0.000 0.000 0.000
0.750 0.750 0.750
0.250 0.250 0.250
0.500 0.500 0.500

=====

Entry 4:
LiTi2BiRu | the Alexandria database | PBE | relaxed; total moment = 0.0 μB/f.u.; symmetry = No. 123; VASP energy = -5.615 eV per atom; D(E_F) = 5.984 states/eV per cell; E_form = 556.6 meV/atom
1.0
4.467 0.000 0.000
0.000 4.467 0.000
0.000 0.000 4.281
Li Ti Bi Ru
1 2 1 1
direct
0.000 0.000 0.000
0.000 0.500 0.000
0.500 0.000 0.000
0.500 0.500 0.500
0.000 0.000 0.500

=====

Entry 5:
LiTmBiRu | the Alexandria database | PBE | relaxed; total moment = 0.0 μB/f.u.; symmetry = No. 216; VASP energy = -5.210 eV per atom; D(E_F) = 4.194 states/eV per cell; E_form = -324.1 meV/atom
1.0
0.000 3.369 3.369
3.369 0.000 3.369
3.369 3.369 0.000
Li Tm Bi Ru
1 1 1 1
direct
0.000 0.000 0.000
0.750 0.750 0.750
0.250 0.250 0.250
0.500 0.500 0.500

=====

Entry 6:
LiZn2BiRu | the Alexandria database | PBE | relaxed; total moment = 1.0 μB/f.u.; symmetry = No. 123; VASP energy = -2.684 eV per atom; D(E_F) = 5.234 states/eV per cell; E_form = 839.9 meV/atom
1.0
4.397 0.000 0.000
0.000 4.397 0.000
0.000 0.000 4.805
Li Zn Bi Ru
1 2 1 1
direct
0.000 0.000 0.000
0.000 0.500 0.000
0.500 0.000 0.000
0.000 0.000 0.500
0.500 0.500 0.500

=====

Entry 7:
Li2ZnBiRu | the Alexandria database | PBE | relaxed; total moment = 0.0 μB/f.u.; symmetry = No. 123; VASP energy = -3.216 eV per atom; D(E_F) = 2.009 states/eV per cell; E_form = 435.7 meV/atom
1.0
4.809 0.000 0.000
0.000 4.809 0.000
0.000 0.000 5.099
Li Zn Bi Ru
2 1 1 1
direct
0.000 0.500 0.000
0.500 0.000 0.000
0.000 0.000 0.500
0.500 0.500 0.500
0.500 0.500 0.000

=====

Entry 8:
Li3BiS3 | the Alexandria database | PBE | relaxed; energy relative to the lowest polymorph listed for this composition = 0 meV per atom; total moment = 0.0 μB/f.u.; symmetry = No. 148; VASP energy = -4.114 eV per atom; D(E_F) = 0.000 states/eV per cell
1.0
3.564 2.058 6.598
-3.564 2.058 6.598
0.000 -4.115 6.598
Li Bi S
6 2 6
direct
0.132 0.415 0.814
0.186 0.868 0.585
0.415 0.814 0.132
0.585 0.186 0.868
0.814 0.132 0.415
0.868 0.585 0.186
0.330 0.330 0.330
0.670 0.670 0.670
0.078 0.727 0.456
0.273 0.544 0.922
0.456 0.078 0.727
0.544 0.922 0.273
0.727 0.456 0.078
0.922 0.273 0.544

=====

Entry 9:
Li3BiS3 | the Alexandria database | PBE | relaxed; energy relative to the lowest polymorph listed for this composition = 24 meV per atom; total moment = 0.0 μB/f.u.; symmetry = No. 161; VASP energy = -4.090 eV per atom; D(E_F) = 0.000 states/eV per cell
1.0
5.480 3.164 2.729
-5.480 3.164 2.729
0.000 -6.327 2.729
Li Bi S
6 2 6
direct
0.058 0.286 0.656
0.156 0.786 0.558
0.286 0.656 0.058
0.558 0.156 0.786
0.656 0.058 0.286
0.786 0.558 0.156
0.242 0.242 0.242
0.742 0.742 0.742
0.329 0.975 0.964
0.464 0.475 0.829
0.475 0.829 0.464
0.829 0.464 0.475
0.964 0.329 0.975
0.975 0.964 0.329

=====

Entry 10:
Li3BiS3 | the Alexandria database | PBE | relaxed; energy relative to the lowest polymorph listed for this composition = 79 meV per atom; total moment = 0.0 μB/f.u.; symmetry = No. 198; VASP energy = -4.035 eV per atom; D(E_F) = 0.000 states/eV per cell
1.0
8.151 0.000 0.000
0.000 8.151 0.000
0.000 0.000 8.151
Li Bi S
12 4 12
direct
0.025 0.025 0.025
0.184 0.316 0.684
0.207 0.707 0.793
0.293 0.293 0.293
0.316 0.684 0.184
0.475 0.975 0.525
0.525 0.475 0.975
0.684 0.184 0.316
0.707 0.793 0.207
0.793 0.207 0.707
0.816 0.816 0.816
0.975 0.525 0.475
0.081 0.919 0.419
0.419 0.081 0.919
0.581 0.581 0.581
0.919 0.419 0.081
0.007 0.750 0.124
0.124 0.007 0.750
0.250 0.376 0.993
0.250 0.624 0.493
0.376 0.993 0.250
0.493 0.250 0.624
0.507 0.750 0.876
0.624 0.493 0.250
0.750 0.124 0.007
0.750 0.876 0.507
0.876 0.507 0.750
0.993 0.250 0.376

=====

Entry 11:
Li2BiS2 | the Alexandria database | PBE | relaxed; energy relative to the lowest polymorph listed for this composition = 0 meV per atom; total moment = 0.0 μB/f.u.; symmetry = No. 71; VASP energy = -4.025 eV per atom; D(E_F) = 0.498 states/eV per cell
1.0
-2.008 2.017 6.752
2.008 -2.017 6.752
2.008 2.017 -6.752
Li Bi S
2 1 2
direct
0.241 0.241 0.000
0.759 0.759 0.000
0.500 0.500 0.000
0.352 0.852 0.500
0.648 0.148 0.500

=====

Entry 12:
Li3BiS3 | the Alexandria database | PBE | relaxed; energy relative to the lowest polymorph listed for this composition = 13 meV per atom; total moment = 0.0 μB/f.u.; symmetry = No. 33; VASP energy = -4.101 eV per atom; D(E_F) = 0.000 states/eV per cell
1.0
7.766 0.000 0.000
0.000 6.876 0.000
0.000 0.000 10.421
Li Bi S
12 4 12
direct
0.060 0.042 0.000
0.105 0.334 0.440
0.245 0.368 0.142
0.255 0.868 0.642
0.395 0.834 0.940
0.440 0.542 0.500
0.560 0.458 0.000
0.605 0.166 0.440
0.745 0.132 0.142
0.755 0.632 0.642
0.895 0.666 0.940
0.940 0.958 0.500
0.214 0.386 0.763
0.286 0.886 0.263
0.714 0.114 0.763
0.786 0.614 0.263
0.040 0.144 0.251
0.150 0.687 0.447
0.166 0.693 0.069
0.334 0.193 0.569
0.350 0.187 0.947
0.460 0.644 0.751
0.540 0.356 0.251
0.650 0.813 0.447
0.666 0.807 0.069
0.834 0.307 0.569
0.850 0.313 0.947
0.960 0.856 0.751

=====

Entry 13:
Li3BiS | the Alexandria database | PBE | relaxed; energy relative to the lowest polymorph listed for this composition = 736 meV per atom; total moment = 2.0 μB/f.u.; symmetry = No. 221; VASP energy = -2.664 eV per atom; D(E_F) = 1.976 states/eV per cell
1.0
5.240 0.000 0.000
0.000 5.240 0.000
0.000 0.000 5.240
Li Bi S
3 1 1
direct
0.000 0.000 0.500
0.000 0.500 0.000
0.500 0.000 0.000
0.000 0.000 0.000
0.500 0.500 0.500

=====

Entry 14:
LiBi4S6 | the Alexandria database | PBE | relaxed; total moment = 0.0 μB/f.u.; symmetry = No. 63; VASP energy = -4.260 eV per atom; D(E_F) = 3.460 states/eV per cell
1.0
2.139 -6.618 0.000
2.139 6.618 0.000
0.000 0.000 20.413
Li Bi S
2 8 12
direct
0.215 0.785 0.750
0.785 0.215 0.250
0.095 0.905 0.136
0.095 0.905 0.364
0.366 0.634 0.047
0.366 0.634 0.453
0.634 0.366 0.547
0.634 0.366 0.953
0.905 0.095 0.636
0.905 0.095 0.864
0.000 0.000 0.000
0.000 0.000 0.500
0.198 0.802 0.250
0.260 0.740 0.585
0.260 0.740 0.915
0.469 0.531 0.162
0.469 0.531 0.338
0.531 0.469 0.662
0.531 0.469 0.838
0.740 0.260 0.085
0.740 0.260 0.415
0.802 0.198 0.750

=====

Entry 15:
Li5BiS4 | the Alexandria database | PBE | relaxed; energy relative to the lowest polymorph listed for this composition = 36 meV per atom; total moment = 0.0 μB/f.u.; symmetry = No. 36; VASP energy = -4.013 eV per atom; D(E_F) = 0.000 states/eV per cell
1.0
3.834 -6.312 0.000
3.834 6.312 0.000
0.000 0.000 7.765
Li Bi S
10 2 8
direct
0.117 0.242 0.587
0.135 0.865 0.500
0.165 0.426 0.298
0.242 0.117 0.087
0.426 0.165 0.798
0.574 0.835 0.298
0.758 0.883 0.587
0.835 0.574 0.798
0.865 0.135 0.000
0.883 0.758 0.087
0.333 0.667 0.866
0.667 0.333 0.366
0.006 0.499 0.052
0.024 0.976 0.810
0.478 0.522 0.499
0.499 0.006 0.552
0.501 0.994 0.052
0.522 0.478 0.999
0.976 0.024 0.310
0.994 0.501 0.552

=====

Entry 16:
Li5BiS4 | the Alexandria database | PBE | relaxed; energy relative to the lowest polymorph listed for this composition = 53 meV per atom; total moment = 0.0 μB/f.u.; symmetry = No. 59; VASP energy = -3.997 eV per atom; D(E_F) = 0.000 states/eV per cell
1.0
7.849 0.000 0.000
0.000 9.213 0.000
0.000 0.000 5.796
Li Bi S
10 2 8
direct
0.014 0.048 0.242
0.014 0.452 0.242
0.250 0.750 0.230
0.486 0.048 0.242
0.486 0.452 0.242
0.514 0.548 0.758
0.514 0.952 0.758
0.750 0.250 0.770
0.986 0.548 0.758
0.986 0.952 0.758
0.250 0.250 0.809
0.750 0.750 0.191
0.001 0.750 0.482
0.250 0.531 0.990
0.250 0.969 0.990
0.499 0.750 0.482
0.501 0.250 0.518
0.750 0.031 0.010
0.750 0.469 0.010
0.999 0.250 0.518

=====

Entry 17:
Li4Bi2S7 | the Alexandria database | PBE | relaxed; total moment = 0.0 μB/f.u.; symmetry = No. 14; VASP energy = -4.081 eV per atom
1.0
6.379 0.000 0.000
0.000 12.452 0.000
-5.215 0.000 7.231
Li Bi S
8 4 14
direct
0.129 0.111 0.471
0.129 0.389 0.971
0.245 0.671 0.892
0.245 0.829 0.392
0.755 0.171 0.608
0.755 0.329 0.108
0.871 0.611 0.029
0.871 0.889 0.529
0.356 0.021 0.134
0.356 0.479 0.634
0.644 0.521 0.366
0.644 0.979 0.866
0.187 0.025 0.758
0.187 0.475 0.258
0.194 0.730 0.605
0.194 0.770 0.105
0.441 0.234 0.152
0.441 0.266 0.652
0.500 0.000 0.500
0.500 0.500 0.000
0.559 0.734 0.348
0.559 0.766 0.848
0.806 0.230 0.895
0.806 0.270 0.395
0.813 0.525 0.742
0.813 0.975 0.242

=====

Entry 18:
Li2BiS2 | the Alexandria database | PBE | relaxed; energy relative to the lowest polymorph listed for this composition = 233 meV per atom; total moment = 0.0 μB/f.u.; symmetry = No. 139; VASP energy = -3.792 eV per atom; D(E_F) = 3.347 states/eV per cell
1.0
-1.871 1.871 6.543
1.871 -1.871 6.543
1.871 1.871 -6.543
Li Bi S
2 1 2
direct
0.250 0.750 0.500
0.750 0.250 0.500
0.000 0.000 0.000
0.366 0.366 0.000
0.634 0.634 0.000

=====

Entry 19:
Li3BiS3 | the Alexandria database | PBE | relaxed; energy relative to the lowest polymorph listed for this composition = 40 meV per atom; total moment = 0.0 μB/f.u.; symmetry = No. 14; VASP energy = -4.073 eV per atom; D(E_F) = 0.000 states/eV per cell
1.0
3.979 0.000 0.000
0.000 12.407 0.000
-2.873 0.000 11.813
Li Bi S
12 4 12
direct
0.026 0.221 0.025
0.026 0.279 0.525
0.278 0.035 0.396
0.278 0.465 0.896
0.362 0.544 0.383
0.362 0.956 0.883
0.638 0.044 0.117
0.638 0.456 0.617
0.722 0.535 0.104
0.722 0.965 0.604
0.974 0.721 0.475
0.974 0.779 0.975
0.368 0.703 0.753
0.368 0.797 0.253
0.632 0.203 0.747
0.632 0.297 0.247
0.203 0.092 0.592
0.203 0.408 0.092
0.221 0.127 0.212
0.221 0.373 0.712
0.446 0.145 0.930
0.446 0.355 0.430
0.554 0.645 0.570
0.554 0.855 0.070
0.779 0.627 0.288
0.779 0.873 0.788
0.797 0.592 0.908
0.797 0.908 0.408

=====

Entry 20:
Li2BiS3 | the Alexandria database | PBE | relaxed; energy relative to the lowest polymorph listed for this composition = 0 meV per atom; total moment = 0.0 μB/f.u.; symmetry = No. 2; VASP energy = -4.125 eV per atom; D(E_F) = 0.000 states/eV per cell
1.0
5.616 0.000 0.000
2.030 6.644 0.000
2.354 0.759 6.882
Li Bi S
4 2 6
direct
0.044 0.114 0.291
0.264 0.682 0.050
0.736 0.318 0.950
0.956 0.886 0.709
0.332 0.272 0.595
0.668 0.728 0.405
0.151 0.730 0.390
0.160 0.373 0.003
0.418 0.893 0.752
0.582 0.107 0.248
0.840 0.627 0.997
0.849 0.270 0.610